No. 1
First-principles (PBE) data for RbLaSnAu2 after structural relaxation, as listed in Alexandria.

a = 5.5147 Å, b = 5.5147 Å, c = 6.6550 Å
α = 90.00°, β = 90.00°, γ = 90.00°
Sites, in units of the cell vectors:
Rb: 0.0000 0.0000 0.0000
La: 0.0000 0.0000 0.5000
Sn: 0.5000 0.5000 0.0000
Au: 0.0000 0.5000 0.5000
Au: 0.5000 0.0000 0.5000

Output
Crystal system   tetragonal
Magnetization   0.0 μB/f.u.
Total energy   -2.7958 eV/atom

No. 2
First-principles (PBE) data for LiCa6Tl5 after structural relaxation, as listed in Alexandria.

a = 8.7078 Å, b = 8.7078 Å, c = 7.7615 Å
α = 90.00°, β = 90.00°, γ = 143.31°
Sites, in units of the cell vectors:
Li: 0.0000 0.0000 0.0000
Ca: 0.1685 0.8315 0.2490
Ca: 0.1685 0.8315 0.7510
Ca: 0.5000 0.5000 0.2566
Ca: 0.5000 0.5000 0.7434
Ca: 0.8315 0.1685 0.2490
Ca: 0.8315 0.1685 0.7510
Tl: 0.0000 0.0000 0.5000
Tl: 0.3326 0.6674 0.5000
Tl: 0.3408 0.6592 0.0000
Tl: 0.6592 0.3408 0.0000
Tl: 0.6674 0.3326 0.5000

Output
Crystal system   orthorhombic
Magnetization   0.0 μB/f.u.
Total energy   -2.5347 eV/atom

Q: Look up the total energy of the first one.
A: -2.7958 eV/atom

Please write out number 1 again, unchanged.
First-principles (PBE) data for RbLaSnAu2 after structural relaxation, as listed in Alexandria.

a = 5.5147 Å, b = 5.5147 Å, c = 6.6550 Å
α = 90.00°, β = 90.00°, γ = 90.00°
Sites, in units of the cell vectors:
Rb: 0.0000 0.0000 0.0000
La: 0.0000 0.0000 0.5000
Sn: 0.5000 0.5000 0.0000
Au: 0.0000 0.5000 0.5000
Au: 0.5000 0.0000 0.5000

Output
Crystal system   tetragonal
Magnetization   0.0 μB/f.u.
Total energy   -2.7958 eV/atom

Q: Number 2 is which compound?
A: LiCa6Tl5